# 1
## Cs12Cd5Ag3 (GGA-PBE)

Data for an optimized crystal structure of Cs12Cd5Ag3.

Cell: 19.642 19.642 19.642 Å, 109.47 109.47 109.47°
Sites, in units of the cell vectors:
Cs (0.057, 0.428, 0.827)
Cs (0.101, 0.928, 0.371)
Cs (0.572, 0.943, 0.673)
Cs (0.943, 0.371, 0.270)
Cs (0.899, 0.827, 0.770)
Cs (0.557, 0.230, 0.129)
Cs (0.327, 0.557, 0.428)
Cs (0.629, 0.057, 0.230)
Cs (0.943, 0.572, 0.173)
Cs (0.827, 0.928, 0.057)
Cs (0.601, 0.730, 0.673)
Cs (0.371, 0.943, 0.770)
Cs (0.327, 0.770, 0.399)
Cs (0.730, 0.601, 0.173)
Cs (0.270, 0.399, 0.827)
Cs (0.928, 0.827, 0.557)
Cs (0.129, 0.399, 0.072)
Cs (0.230, 0.673, 0.101)
Cs (0.899, 0.072, 0.629)
Cs (0.557, 0.327, 0.928)
Cs (0.129, 0.730, 0.557)
Cs (0.673, 0.443, 0.572)
Cs (0.673, 0.230, 0.601)
Cs (0.770, 0.327, 0.899)
Cs (0.770, 0.443, 0.371)
Cs (0.601, 0.871, 0.428)
Cs (0.428, 0.371, 0.601)
Cs (0.399, 0.270, 0.327)
Cs (0.072, 0.899, 0.129)
Cs (0.428, 0.057, 0.327)
Cs (0.443, 0.673, 0.072)
Cs (0.871, 0.270, 0.443)
Cs (0.270, 0.871, 0.943)
Cs (0.173, 0.072, 0.943)
Cs (0.173, 0.101, 0.730)
Cs (0.101, 0.173, 0.230)
Cs (0.399, 0.129, 0.572)
Cs (0.230, 0.557, 0.629)
Cs (0.443, 0.770, 0.871)
Cs (0.629, 0.572, 0.899)
Cs (0.072, 0.173, 0.443)
Cs (0.928, 0.101, 0.871)
Cs (0.371, 0.428, 0.101)
Cs (0.572, 0.629, 0.399)
Cs (0.730, 0.129, 0.057)
Cs (0.057, 0.629, 0.730)
Cs (0.871, 0.601, 0.928)
Cs (0.827, 0.899, 0.270)
Ag (0.750, 0.375, 0.125)
Ag (0.750, 0.875, 0.625)
Ag (0.375, 0.625, 0.250)
Ag (0.875, 0.125, 0.250)
Ag (0.125, 0.250, 0.875)
Ag (0.250, 0.125, 0.375)
Ag (0.250, 0.625, 0.875)
Ag (0.875, 0.750, 0.125)
Ag (0.625, 0.375, 0.750)
Ag (0.375, 0.750, 0.625)
Ag (0.625, 0.250, 0.375)
Ag (0.125, 0.875, 0.750)
Cd (0.500, 0.500, 0.000)
Cd (0.750, 0.125, 0.875)
Cd (0.250, 0.375, 0.625)
Cd (0.375, 0.125, 0.750)
Cd (0.625, 0.750, 0.875)
Cd (0.500, 0.500, 0.500)
Cd (0.875, 0.250, 0.625)
Cd (0.250, 0.875, 0.125)
Cd (0.000, 0.000, 0.000)
Cd (0.125, 0.375, 0.250)
Cd (0.125, 0.750, 0.375)
Cd (0.625, 0.875, 0.250)
Cd (0.500, 0.000, 0.500)
Cd (0.375, 0.250, 0.125)
Cd (0.000, 0.500, 0.000)
Cd (0.750, 0.625, 0.375)
Cd (0.000, 0.000, 0.500)
Cd (0.875, 0.625, 0.750)
Cd (0.500, 0.000, 0.000)
Cd (0.000, 0.500, 0.500)

Results
VASP energy   -1.007 eV/atom
DOS at the Fermi energy   1.370 states/eV/atom
Space group   No. 230


# 2
## NbRh3I (GGA-PBE)

Data for an optimized crystal structure of NbRh3I.

Cell: 4.781 4.781 4.781 Å, 90.00 90.00 90.00°
Last column: magnetic moment on the atom in μB.
Sites, in units of the cell vectors:
I (0.000, 0.000, 0.000)  0.01
Rh (0.000, 0.000, 0.500)  -0.04
Rh (0.000, 0.500, 0.000)  -0.13
Rh (0.500, 0.000, 0.000)  -0.27
Nb (0.500, 0.500, 0.500)  1.87

Results
DOS at the Fermi energy   1.656 states/eV/atom
Space group   No. 221
Energy relative to the lowest polymorph listed for this composition   0.363 eV per atom


# 3
## LaLuZnIn (GGA-PBE)

Data for an optimized crystal structure of LaLuZnIn.

Cell: 5.310 5.310 5.310 Å, 60.00 60.00 60.00°
Sites, in units of the cell vectors:
Lu (0.750, 0.750, 0.750)
Zn (0.000, 0.000, 0.000)
In (0.500, 0.500, 0.500)
La (0.250, 0.250, 0.250)

Results
VASP energy   -3.738 eV/atom
DOS at the Fermi energy   0.938 states/eV/atom
Space group   No. 216


# 4
## AlSnPb (GGA-PBE)

Data for an optimized crystal structure of AlSnPb.

Cell: 3.332 5.939 8.225 Å, 101.67 100.45 90.72°
Sites, in units of the cell vectors:
Sn (0.021, 0.708, 0.201)
Sn (0.456, 0.167, 0.966)
Al (0.098, 0.212, 0.270)
Al (0.683, 0.531, 0.467)
Pb (0.806, 0.050, 0.576)
Pb (0.364, 0.622, 0.807)

Results
DOS at the Fermi energy   0.387 states/eV/atom
Space group   No. 1
Energy relative to the lowest polymorph listed for this composition   0.009 eV per atom